{
  "formula": "RbFe2Bi2O7",
  "functional": "PBE+U",
  "state": "relaxed",
  "crystal_system": "trigonal",
  "total_energy_ev_per_atom": -5.76,
  "m_tot_mub_per_cell": 8.999,
  "lattice_angstrom": [[-1.648, -2.021, 5.302], [4.052, -0.926, 4.199], [-0.202, 6.982, 5.891]],
  "species": ["Rb", "Fe", "Fe", "Bi", "Bi", "O", "O", "O", "O", "O", "O", "O"],
  "fractional_positions": [[0.500, 0.500, 0.500], [0.927, 0.927, 0.218], [0.073, 0.073, 0.782], [0.717, 0.717, 0.848], [0.283, 0.283, 0.152], [0.171, 0.976, 0.278], [0.575, 0.171, 0.278], [0.976, 0.575, 0.278], [0.425, 0.024, 0.722], [0.829, 0.425, 0.722], [0.000, 0.000, 0.000], [0.024, 0.829, 0.722]]
}

***

{
  "formula": "FeBiRh2O6",
  "functional": "PBE+U",
  "state": "relaxed",
  "crystal_system": "trigonal",
  "total_energy_ev_per_atom": -6.33,
  "m_tot_mub_per_cell": 4.970,
  "lattice_angstrom": [[5.424, 0.000, 0.000], [2.712, 4.698, 0.000], [2.712, 1.566, 4.743]],
  "species": ["Fe", "Bi", "Rh", "Rh", "O", "O", "O", "O", "O", "O"],
  "fractional_positions": [[0.813, 0.813, 0.562], [0.301, 0.301, 0.098], [0.513, 0.513, 0.461], [0.017, 0.017, 0.948], [0.659, 0.213, 0.258], [0.213, 0.871, 0.258], [0.871, 0.659, 0.258], [0.415, 0.744, 0.724], [0.744, 0.116, 0.724], [0.116, 0.415, 0.724]]
}

***

{
  "formula": "FeBi2SbO6",
  "functional": "PBE+U",
  "state": "relaxed",
  "crystal_system": "monoclinic",
  "total_energy_ev_per_atom": -5.94,
  "m_tot_mub_per_cell": 6.642,
  "lattice_angstrom": [[-2.726, 4.008, -2.898], [-1.880, -4.203, -4.044], [-6.603, -1.226, 4.343]],
  "species": ["Fe", "Fe", "Bi", "Bi", "Bi", "Bi", "Sb", "Sb", "O", "O", "O", "O", "O", "O", "O", "O", "O", "O", "O", "O"],
  "fractional_positions": [[0.500, 0.000, 0.000], [0.000, 0.500, 0.500], [0.012, 0.950, 0.242], [0.512, 0.550, 0.742], [0.988, 0.050, 0.758], [0.488, 0.450, 0.258], [0.500, 0.000, 0.500], [0.000, 0.500, 0.000], [0.316, 0.681, 0.060], [0.816, 0.819, 0.560], [0.684, 0.319, 0.940], [0.184, 0.181, 0.440], [0.335, 0.688, 0.451], [0.835, 0.812, 0.951], [0.665, 0.312, 0.549], [0.165, 0.188, 0.049], [0.875, 0.544, 0.256], [0.375, 0.956, 0.756], [0.125, 0.456, 0.744], [0.625, 0.044, 0.244]]
}

***

{
  "formula": "FeBi2SbO8",
  "functional": "PBE+U",
  "state": "relaxed",
  "crystal_system": "orthorhombic",
  "total_energy_ev_per_atom": -5.93,
  "m_tot_mub_per_cell": 4.495,
  "lattice_angstrom": [[4.952, -0.049, -0.003], [-0.020, 4.951, -0.005], [0.004, 0.007, 6.702]],
  "species": ["Fe", "Bi", "Bi", "Sb", "O", "O", "O", "O", "O", "O", "O", "O"],
  "fractional_positions": [[0.000, 0.000, 0.500], [0.500, 0.500, 0.745], [0.500, 0.500, 0.255], [0.000, 0.000, 0.000], [0.178, 0.821, 0.241], [0.710, 0.710, 0.000], [0.821, 0.179, 0.241], [0.822, 0.179, 0.759], [0.290, 0.290, 0.000], [0.179, 0.821, 0.759], [0.714, 0.714, 0.500], [0.286, 0.286, 0.500]]
}

***

{
  "formula": "FeBiSbO6",
  "functional": "PBE+U",
  "state": "relaxed",
  "crystal_system": "trigonal",
  "total_energy_ev_per_atom": -6.02,
  "m_tot_mub_per_cell": 3.976,
  "lattice_angstrom": [[-4.652, 0.475, -2.256], [1.351, -4.483, 2.245], [-3.876, 3.169, 8.661]],
  "species": ["Fe", "Fe", "Bi", "Bi", "Sb", "Sb", "O", "O", "O", "O", "O", "O", "O", "O", "O", "O", "O", "O"],
  "fractional_positions": [[0.333, 0.667, 0.250], [0.667, 0.333, 0.750], [0.000, 0.000, 0.000], [0.000, 0.000, 0.500], [0.667, 0.333, 0.250], [0.333, 0.667, 0.750], [0.622, 0.634, 0.141], [0.012, 0.378, 0.141], [0.378, 0.012, 0.641], [0.988, 0.622, 0.859], [0.366, 0.378, 0.359], [0.012, 0.634, 0.359], [0.634, 0.012, 0.859], [0.622, 0.988, 0.359], [0.988, 0.366, 0.641], [0.366, 0.988, 0.141], [0.634, 0.622, 0.641], [0.378, 0.366, 0.859]]
}

***

{
  "formula": "Sc2FeBiO6",
  "functional": "PBE+U",
  "state": "relaxed",
  "crystal_system": "trigonal",
  "total_energy_ev_per_atom": -7.57,
  "m_tot_mub_per_cell": 4.979,
  "lattice_angstrom": [[5.484, 0.000, 0.000], [2.742, 4.749, 0.000], [2.742, 1.583, 4.859]],
  "species": ["Sc", "Sc", "Fe", "Bi", "O", "O", "O", "O", "O", "O"],
  "fractional_positions": [[0.515, 0.515, 0.454], [0.024, 0.024, 0.928], [0.815, 0.815, 0.554], [0.298, 0.298, 0.105], [0.663, 0.217, 0.255], [0.217, 0.865, 0.255], [0.865, 0.663, 0.255], [0.423, 0.738, 0.736], [0.738, 0.103, 0.736], [0.103, 0.423, 0.736]]
}